(1)
Below is an optimized crystal structure of TbZnNi, with properties calculated at the PBE level.

Cell: 12.343 3.801 7.024 Å, 90.00 90.00 90.00°
Atoms (fractional coordinates):
Tb  0.044  0.000  0.248
Tb  0.250  0.000  0.634
Tb  0.456  0.000  0.248
Tb  0.544  0.000  0.752
Tb  0.750  0.000  0.366
Tb  0.956  0.000  0.752
Zn  0.132  0.500  0.921
Zn  0.250  0.500  0.287
Zn  0.368  0.500  0.921
Zn  0.632  0.500  0.079
Zn  0.750  0.500  0.713
Zn  0.868  0.500  0.079
Ni  0.092  0.500  0.550
Ni  0.250  0.000  0.050
Ni  0.408  0.500  0.550
Ni  0.592  0.500  0.450
Ni  0.750  0.000  0.950
Ni  0.908  0.500  0.450

## Properties
Total DFT energy (no corrections) (eV/f.u.): -13.0
ΔE_f (eV per atom): -0.44
Distance to the lowest polymorph of the same formula (kcal/mol of atoms): 0.33



(2)
Below is an optimized crystal structure of TbZn2Ni2, with properties calculated at the PBE level.

Cell: 5.089 5.089 8.202 Å, 98.05 98.05 123.06°
Atoms (fractional coordinates):
Tb  0.125  0.875  0.750
Tb  0.875  0.125  0.250
Zn  0.253  0.504  0.006
Zn  0.496  0.747  0.494
Zn  0.504  0.253  0.506
Zn  0.747  0.496  0.994
Ni  0.200  0.800  0.250
Ni  0.450  0.550  0.750
Ni  0.550  0.450  0.250
Ni  0.800  0.200  0.750

## Properties
Total DFT energy (no corrections) (eV/f.u.): -20.0
ΔE_f (eV per atom): -0.26



(3)
Below is an optimized crystal structure of TbZn6Ni4, with properties calculated at the PBE level.

Cell: 6.311 6.311 6.311 Å, 120.54 120.54 89.06°
Atoms (fractional coordinates):
Tb  0.000  0.000  0.000
Zn  0.000  0.500  0.500
Zn  0.104  0.104  0.619
Zn  0.485  0.485  0.381
Zn  0.500  0.000  0.500
Zn  0.515  0.896  0.000
Zn  0.896  0.515  0.000
Ni  0.264  0.591  0.000
Ni  0.409  0.409  0.673
Ni  0.591  0.264  0.000
Ni  0.736  0.736  0.327

## Properties
Total DFT energy (no corrections) (eV/f.u.): -37.2
ΔE_f (eV per atom): -0.16



(4)
Below is an optimized crystal structure of Tb12ZnNi6, with properties calculated at the PBE level.

Cell: 8.393 8.393 8.393 Å, 109.47 109.47 109.47°
Atoms (fractional coordinates):
Tb  0.116  0.302  0.814
Tb  0.186  0.488  0.302
Tb  0.186  0.884  0.698
Tb  0.302  0.186  0.488
Tb  0.302  0.814  0.116
Tb  0.488  0.302  0.186
Tb  0.512  0.698  0.814
Tb  0.698  0.186  0.884
Tb  0.698  0.814  0.512
Tb  0.814  0.116  0.302
Tb  0.814  0.512  0.698
Tb  0.884  0.698  0.186
Zn  0.000  0.000  0.000
Ni  0.124  0.500  0.624
Ni  0.376  0.876  0.500
Ni  0.500  0.376  0.876
Ni  0.500  0.624  0.124
Ni  0.624  0.124  0.500
Ni  0.876  0.500  0.376

## Properties
Total DFT energy (no corrections) (eV/f.u.): -97.3
ΔE_f (eV per atom): -0.31
Distance to the lowest polymorph of the same formula (kcal/mol of atoms): 0.00



(5)
Below is an optimized crystal structure of Tb3Zn4Ni2, with properties calculated at the PBE level.

Cell: 5.712 5.712 8.302 Å, 112.44 112.44 44.29°
Atoms (fractional coordinates):
Tb  0.000  0.000  0.000
Tb  0.318  0.318  0.355
Tb  0.682  0.682  0.645
Zn  0.034  0.034  0.368
Zn  0.283  0.283  0.945
Zn  0.717  0.717  0.055
Zn  0.966  0.966  0.632
Ni  0.402  0.402  0.736
Ni  0.598  0.598  0.264

## Properties
Total DFT energy (no corrections) (eV/f.u.): -34.1
ΔE_f (eV per atom): -0.39



(6)
Below is an optimized crystal structure of Tb8Zn2Ni, with properties calculated at the PBE level.

Cell: 9.114 9.114 6.687 Å, 102.29 102.29 32.48°
Atoms (fractional coordinates):
Tb  0.026  0.026  0.279
Tb  0.203  0.203  0.817
Tb  0.345  0.345  0.535
Tb  0.410  0.410  0.057
Tb  0.590  0.590  0.943
Tb  0.655  0.655  0.465
Tb  0.797  0.797  0.183
Tb  0.974  0.974  0.721
Zn  0.192  0.192  0.240
Zn  0.808  0.808  0.760
Ni  0.500  0.500  0.500

## Properties
Total DFT energy (no corrections) (eV/f.u.): -47.0
ΔE_f (eV per atom): -0.15



(7)
Below is an optimized crystal structure of TbZnNi, with properties calculated at the PBE level.

Cell: 4.416 4.416 4.416 Å, 60.00 60.00 60.00°
Atoms (fractional coordinates):
Tb  0.000  0.000  0.000
Zn  0.500  0.500  0.500
Ni  0.250  0.250  0.250

## Properties
Total DFT energy (no corrections) (eV/f.u.): -12.5
ΔE_f (eV per atom): -0.26
Distance to the lowest polymorph of the same formula (kcal/mol of atoms): 4.36



(8)
Below is an optimized crystal structure of Tb3ZnNi3, with properties calculated at the PBE level.

Cell: 8.229 8.229 5.404 Å, 90.00 90.00 120.00°
Atoms (fractional coordinates):
Tb  0.051  0.354  0.250
Tb  0.303  0.949  0.250
Tb  0.354  0.303  0.750
Tb  0.646  0.697  0.250
Tb  0.697  0.051  0.750
Tb  0.949  0.646  0.750
Zn  0.333  0.667  0.750
Zn  0.667  0.333  0.250
Ni  0.049  0.368  0.750
Ni  0.319  0.951  0.750
Ni  0.368  0.319  0.250
Ni  0.632  0.681  0.750
Ni  0.681  0.049  0.250
Ni  0.951  0.632  0.250

## Properties
Total DFT energy (no corrections) (eV/f.u.): -33.5
ΔE_f (eV per atom): -0.15
Distance to the lowest polymorph of the same formula (kcal/mol of atoms): 6.91



(9)
Below is an optimized crystal structure of TbZnNi, with properties calculated at the PBE level.

Cell: 5.333 5.333 5.333 Å, 143.21 143.21 53.00°
Atoms (fractional coordinates):
Tb  0.000  0.000  0.000
Zn  0.702  0.702  0.000
Ni  0.320  0.320  0.000

## Properties
Total DFT energy (no corrections) (eV/f.u.): -12.5
ΔE_f (eV per atom): -0.28
Distance to the lowest polymorph of the same formula (kcal/mol of atoms): 3.87



(10)
Below is an optimized crystal structure of Tb2ZnNi2, with properties calculated at the PBE level.

Cell: 5.333 5.333 5.333 Å, 133.21 119.18 80.09°
Atoms (fractional coordinates):
Tb  0.203  0.203  0.000
Tb  0.797  0.797  0.000
Zn  0.500  0.000  0.500
Ni  0.230  0.500  0.730
Ni  0.770  0.500  0.270

## Properties
Total DFT energy (no corrections) (eV/f.u.): -24.4
ΔE_f (eV per atom): -0.45



(11)
Below is an optimized crystal structure of TbZn5Ni7, with properties calculated at the PBE level.

Cell: 6.416 6.416 6.416 Å, 134.80 98.06 98.92°
Atoms (fractional coordinates):
Tb  0.000  0.000  0.000
Zn  0.488  0.493  0.498
Zn  0.488  0.990  0.994
Zn  0.773  0.273  0.500
Zn  0.996  0.493  0.006
Zn  0.996  0.990  0.502
Ni  0.216  0.716  0.500
Ni  0.218  0.491  0.727
Ni  0.346  0.990  0.356
Ni  0.349  0.349  0.000
Ni  0.634  0.990  0.644
Ni  0.636  0.636  0.000
Ni  0.764  0.491  0.273

## Properties
Total DFT energy (no corrections) (eV/f.u.): -54.2
ΔE_f (eV per atom): -0.21



(12)
Below is an optimized crystal structure of Tb2Zn5Ni5, with properties calculated at the PBE level.

Cell: 3.989 5.150 8.908 Å, 90.00 90.00 90.00°
Atoms (fractional coordinates):
Tb  0.000  0.000  0.000
Tb  0.000  0.500  0.500
Zn  0.000  0.000  0.325
Zn  0.000  0.000  0.675
Zn  0.000  0.500  0.167
Zn  0.000  0.500  0.833
Zn  0.500  0.000  0.500
Ni  0.500  0.251  0.247
Ni  0.500  0.251  0.753
Ni  0.500  0.500  0.000
Ni  0.500  0.749  0.247
Ni  0.500  0.749  0.753

## Properties
Total DFT energy (no corrections) (eV/f.u.): -48.8
ΔE_f (eV per atom): -0.35
Distance to the lowest polymorph of the same formula (kcal/mol of atoms): 0.95



(13)
Below is an optimized crystal structure of Tb12ZnNi5, with properties calculated at the PBE level.

Cell: 8.303 8.303 8.303 Å, 111.58 109.60 107.26°
Atoms (fractional coordinates):
Tb  0.031  0.219  0.811
Tb  0.180  0.291  0.471
Tb  0.180  0.709  0.889
Tb  0.325  0.021  0.696
Tb  0.325  0.629  0.304
Tb  0.408  0.219  0.189
Tb  0.592  0.781  0.811
Tb  0.675  0.371  0.696
Tb  0.675  0.979  0.304
Tb  0.820  0.291  0.111
Tb  0.820  0.709  0.529
Tb  0.969  0.781  0.189
Zn  0.500  0.500  0.000
Ni  0.000  0.000  0.000
Ni  0.124  0.624  0.500
Ni  0.360  0.000  0.360
Ni  0.640  0.000  0.640
Ni  0.876  0.376  0.500

## Properties
Total DFT energy (no corrections) (eV/f.u.): -90.8
ΔE_f (eV per atom): -0.28



(14)
Below is an optimized crystal structure of TbZn2Ni4, with properties calculated at the PBE level.

Cell: 5.613 5.613 5.613 Å, 101.84 101.84 126.13°
Atoms (fractional coordinates):
Tb  0.000  0.000  0.000
Zn  0.250  0.750  0.500
Zn  0.750  0.250  0.500
Ni  0.278  0.500  0.778
Ni  0.500  0.278  0.778
Ni  0.500  0.722  0.222
Ni  0.722  0.500  0.222

## Properties
Total DFT energy (no corrections) (eV/f.u.): -28.4
ΔE_f (eV per atom): 0.27
Distance to the lowest polymorph of the same formula (kcal/mol of atoms): 12.97



(15)
Below is an optimized crystal structure of TbZnNi, with properties calculated at the PBE level.

Cell: 4.233 4.233 3.641 Å, 90.00 90.00 120.00°
Atoms (fractional coordinates):
Tb  0.000  0.000  0.000
Zn  0.667  0.333  0.500
Ni  0.333  0.667  0.500

## Properties
Total DFT energy (no corrections) (eV/f.u.): -12.8
ΔE_f (eV per atom): -0.38
Distance to the lowest polymorph of the same formula (kcal/mol of atoms): 1.65



(16)
Below is an optimized crystal structure of Tb3ZnNi3, with properties calculated at the PBE level.

Cell: 5.343 5.343 13.074 Å, 90.00 90.00 134.07°
Atoms (fractional coordinates):
Tb  0.012  0.988  0.750
Tb  0.294  0.706  0.604
Tb  0.294  0.706  0.896
Tb  0.706  0.294  0.104
Tb  0.706  0.294  0.396
Tb  0.988  0.012  0.250
Zn  0.000  0.000  0.000
Zn  0.000  0.000  0.500
Ni  0.281  0.719  0.250
Ni  0.417  0.583  0.090
Ni  0.417  0.583  0.410
Ni  0.583  0.417  0.590
Ni  0.583  0.417  0.910
Ni  0.719  0.281  0.750

## Properties
Total DFT energy (no corrections) (eV/f.u.): -35.6
ΔE_f (eV per atom): -0.45
Distance to the lowest polymorph of the same formula (kcal/mol of atoms): 0.00



(17)
Below is an optimized crystal structure of Tb8ZnNi2, with properties calculated at the PBE level.

Cell: 7.824 7.824 5.454 Å, 97.90 97.90 114.85°
Atoms (fractional coordinates):
Tb  0.000  0.000  0.000
Tb  0.049  0.305  0.609
Tb  0.142  0.623  0.191
Tb  0.305  0.049  0.609
Tb  0.461  0.717  0.773
Tb  0.623  0.142  0.191
Tb  0.717  0.461  0.773
Tb  0.766  0.766  0.381
Zn  0.383  0.383  0.187
Ni  0.080  0.686  0.691
Ni  0.686  0.080  0.691

## Properties
Total DFT energy (no corrections) (eV/f.u.): -50.9
ΔE_f (eV per atom): -0.09
Distance to the lowest polymorph of the same formula (kcal/mol of atoms): 2.43



(18)
Below is an optimized crystal structure of Tb3Zn7Ni2, with properties calculated at the PBE level.

Cell: 9.089 9.089 9.089 Å, 34.10 34.10 34.10°
Atoms (fractional coordinates):
Tb  0.000  0.000  0.000
Tb  0.142  0.142  0.142
Tb  0.858  0.858  0.858
Zn  0.076  0.579  0.579
Zn  0.421  0.421  0.924
Zn  0.421  0.924  0.421
Zn  0.500  0.500  0.500
Zn  0.579  0.076  0.579
Zn  0.579  0.579  0.076
Zn  0.924  0.421  0.421
Ni  0.334  0.334  0.334
Ni  0.666  0.666  0.666

## Properties
Total DFT energy (no corrections) (eV/f.u.): -38.3
ΔE_f (eV per atom): -0.32



(19)
Below is an optimized crystal structure of TbZn4Ni4, with properties calculated at the PBE level.

Cell: 7.883 7.883 4.238 Å, 90.00 90.00 90.00°
Atoms (fractional coordinates):
Tb  0.250  0.250  0.250
Tb  0.750  0.750  0.750
Zn  0.119  0.834  0.740
Zn  0.166  0.619  0.240
Zn  0.334  0.881  0.240
Zn  0.381  0.666  0.740
Zn  0.619  0.334  0.260
Zn  0.666  0.119  0.760
Zn  0.834  0.381  0.760
Zn  0.881  0.166  0.260
Ni  0.028  0.122  0.759
Ni  0.122  0.472  0.741
Ni  0.378  0.028  0.741
Ni  0.472  0.378  0.759
Ni  0.528  0.622  0.241
Ni  0.622  0.972  0.259
Ni  0.878  0.528  0.259
Ni  0.972  0.878  0.241

## Properties
Total DFT energy (no corrections) (eV/f.u.): -34.1
ΔE_f (eV per atom): -0.14



(20)
Below is an optimized crystal structure of TbZn11Ni, with properties calculated at the PBE level.

Cell: 6.786 6.786 6.767 Å, 97.93 97.93 136.16°
Atoms (fractional coordinates):
Tb  0.000  0.000  0.000
Zn  0.000  0.000  0.500
Zn  0.000  0.500  0.000
Zn  0.022  0.366  0.358
Zn  0.290  0.503  0.780
Zn  0.366  0.022  0.358
Zn  0.497  0.710  0.220
Zn  0.500  0.000  0.000
Zn  0.503  0.290  0.780
Zn  0.634  0.978  0.642
Zn  0.710  0.497  0.220
Zn  0.978  0.634  0.642
Ni  0.500  0.500  0.500

## Properties
Total DFT energy (no corrections) (eV/f.u.): -27.2
ΔE_f (eV per atom): -0.21